The following is a PBE calculation of a relaxed K2LaFe crystal, from Alexandria.

POSCAR file:
```
K2LaFe
1.0
3.5614 0.0000 0.0000
0.0000 6.4215 0.0000
0.0000 0.0000 6.5087
K La Fe
2 1 1
Direct
0.0000 0.2351 0.0000
0.0000 0.7649 0.0000
0.5000 0.5000 0.5000
0.5000 0.0000 0.5000
```

Properties
total magnetization	0.61	μB per atom
raw total energy	-2.9279	eV/atom
theoretical density	3.04	g/cm³
formation energy	0.968	eV/atom
relative energy among the computed polymorphs	514	meV/atom

The following is a PBE calculation of a relaxed CdTe2F crystal, from Alexandria.

POSCAR file:
```
CdTe2F
1.0
4.3642 0.0000 0.0000
-1.8381 6.8518 0.0000
-1.4965 -2.9752 7.4764
Cd Te F
2 4 2
Direct
0.0000 0.0000 0.0000
0.4368 0.1237 0.6745
0.1737 0.5178 0.1713
0.4971 0.0531 0.3252
0.6362 0.5530 0.9162
0.7812 0.4934 0.4291
0.4854 0.0232 0.9163
0.9237 0.0300 0.7183
```

Properties
formation energy without anion corrections	-3.42	eV/f.u.
total magnetization	0.00	μB per atom
raw total energy	-3.1224	eV/atom
theoretical density	5.74	g/cm³
relative energy among the computed polymorphs	0	meV/atom

The following is a PBE calculation of a relaxed VSiSe2Br crystal, from Alexandria.

POSCAR file:
```
VSiSe2Br
1.0
4.8071 0.0000 0.0000
0.0000 4.8071 0.0000
0.0000 0.0000 4.8145
V Si Se Br
1 1 2 1
Direct
0.0000 0.0000 0.0000
0.5000 0.5000 0.5000
0.0000 0.5000 0.5000
0.5000 0.0000 0.5000
0.5000 0.5000 0.0000
```

Properties
formation energy without anion corrections	2.22	eV/f.u.
total magnetization	0.58	μB per atom
raw total energy	-4.1937	eV/atom
theoretical density	4.73	g/cm³
relative energy among the computed polymorphs	219	meV/atom

The following is a PBE calculation of a relaxed Tm3AlGa12 crystal, from Alexandria.

POSCAR file:
```
Tm3AlGa12
1.0
4.2049 0.0000 0.0000
0.0000 4.2049 0.0000
0.0000 0.0000 16.9991
Tm Al Ga
3 1 12
Direct
0.0000 0.0000 0.0000
0.0000 0.0000 0.2514
0.0000 0.0000 0.7486
0.0000 0.0000 0.5000
0.0000 0.5000 0.1259
0.0000 0.5000 0.3821
0.0000 0.5000 0.6179
0.0000 0.5000 0.8741
0.5000 0.0000 0.1259
0.5000 0.0000 0.3821
0.5000 0.0000 0.6179
0.5000 0.0000 0.8741
0.5000 0.5000 0.0000
0.5000 0.5000 0.2476
0.5000 0.5000 0.5000
0.5000 0.5000 0.7524
```

Properties
total magnetization	0.00	μB per atom
raw total energy	-3.7010	eV/atom
theoretical density	7.57	g/cm³
formation energy	-0.359	eV/atom

The following is a PBE calculation of a relaxed Pr6Tl3Pb crystal, from Alexandria.

POSCAR file:
```
Pr6Tl3Pb
1.0
5.0975 -9.0802 0.0000
5.0975 9.0802 0.0000
0.0000 0.0000 7.1369
Pr Tl Pb
12 6 2
Direct
0.0199 0.9801 0.5000
0.0874 0.5364 0.9662
0.2503 0.3643 0.7108
0.2986 0.7014 0.4719
0.3643 0.2503 0.2108
0.4636 0.9126 0.9662
0.5364 0.0874 0.4662
0.6357 0.7497 0.7108
0.7014 0.2986 0.9719
0.7497 0.6357 0.2108
0.9126 0.4636 0.4662
0.9801 0.0199 0.0000
0.0883 0.3111 0.2818
0.3111 0.0883 0.7818
0.4165 0.5835 0.1012
0.5835 0.4165 0.6012
0.6889 0.9117 0.2818
0.9117 0.6889 0.7818
0.1526 0.8474 0.1979
0.8474 0.1526 0.6979
```

Properties
total magnetization	0.00	μB per atom
raw total energy	-4.1953	eV/atom
theoretical density	8.37	g/cm³
formation energy	-0.247	eV/atom

The following is a PBE calculation of a relaxed GaBr crystal, from Alexandria.

POSCAR file:
```
GaBr
1.0
10.0016 0.0000 0.0000
0.0000 10.0016 0.0000
0.0000 0.0000 10.0016
Ga Br
8 8
Direct
0.1446 0.1446 0.1446
0.1446 0.8554 0.8554
0.3554 0.3554 0.6446
0.3554 0.6446 0.3554
0.6446 0.3554 0.3554
0.6446 0.6446 0.6446
0.8554 0.1446 0.8554
0.8554 0.8554 0.1446
0.1442 0.1442 0.8558
0.1442 0.8558 0.1442
0.3558 0.3558 0.3558
0.3558 0.6442 0.6442
0.6442 0.3558 0.6442
0.6442 0.6442 0.3558
0.8558 0.1442 0.1442
0.8558 0.8558 0.8558
```

Properties
formation energy without anion corrections	-0.94	eV/f.u.
total magnetization	0.00	μB per atom
raw total energy	-2.8190	eV/atom
theoretical density	1.99	g/cm³

The following is a PBE calculation of a relaxed SrScGa crystal, from Alexandria.

POSCAR file:
```
SrScGa
1.0
7.1945 0.0000 0.0000
0.0000 7.1945 0.0000
0.0000 0.0000 7.1945
Sr Sc Ga
4 4 4
Direct
0.0000 0.0000 0.0000
0.0000 0.5000 0.5000
0.5000 0.0000 0.5000
0.5000 0.5000 0.0000
0.0000 0.0000 0.5000
0.0000 0.5000 0.0000
0.5000 0.0000 0.0000
0.5000 0.5000 0.5000
0.2500 0.2500 0.7500
0.2500 0.7500 0.2500
0.7500 0.2500 0.2500
0.7500 0.7500 0.7500
```

Properties
total magnetization	0.00	μB per atom
raw total energy	-3.7129	eV/atom
theoretical density	3.61	g/cm³
formation energy	-0.033	eV/atom
relative energy among the computed polymorphs	353	meV/atom